# PBE+U Li6Mn9O20, optimized geometry
# Size of the total moment in μB/f.u.: 5.04
# Fermi-level density of states in states/eV per atom: 0.035
# Calculated total energy in eV per formula unit: -234.36
data_Li6Mn9O20
_chemical_formula_sum 'Li24 Mn36 O80'
_space_group_name_H-M_alt 'C 1 2/m 1'
_space_group_IT_number 12
_space_group_name_Hall '-C 2y'
_cell_length_a 10.1448
_cell_length_b 5.8491
_cell_length_c 24.2790
_cell_angle_alpha 90.00
_cell_angle_beta 97.24
_cell_angle_gamma 90.00
loop_
_atom_site_label
_atom_site_fract_x
_atom_site_fract_y
_atom_site_fract_z
_atom_site_occupancy
Li1 0.0000 0.0000 0.0000 1
Li2 0.0000 0.0000 0.5000 1
Li3 0.0326 0.5000 0.0736 1
Li4 0.0781 0.0000 0.7294 1
Li5 0.1363 0.0000 0.8797 1
Li6 0.1735 0.5000 0.5297 1
Li7 0.2221 0.5000 0.6734 1
Mn1 0.0546 0.2458 0.4008 1
Mn2 0.0976 0.5000 0.2983 1
Mn3 0.1050 0.5000 0.8020 1
Mn4 0.1441 0.2488 0.1976 1
Mn5 0.1937 0.0000 0.5994 1
Mn6 0.1978 0.0000 0.0967 1
Mn7 0.2500 0.2500 0.0000 1
O1 0.0016 0.2671 0.2422 1
O2 0.0258 0.5000 0.6476 1
O3 0.0416 0.0000 0.6428 1
O4 0.0539 0.5000 0.1563 1
O5 0.0652 0.0000 0.1505 1
O6 0.0922 0.2307 0.5583 1
O7 0.1189 0.2290 0.0509 1
O8 0.1364 0.0000 0.4425 1
O9 0.1501 0.5000 0.4423 1
O10 0.1640 0.0000 0.9592 1
O11 0.1659 0.5000 0.9530 1
O12 0.1996 0.2742 0.3551 1
O13 0.2129 0.2754 0.8479 1
O14 0.2262 0.5000 0.2442 1
O15 0.2357 0.0000 0.2404 1

# PBE+U Li13Mn8O24, optimized geometry
# Size of the total moment in μB/f.u.: 20.98
# Fermi-level density of states in states/eV per atom: 0.496
# Offset from the most stable computed form in kJ per mole of atoms: 0.0
# Calculated total energy in eV per formula unit: -277.28
data_Li13Mn8O24
_chemical_formula_sum 'Li26 Mn16 O48'
_space_group_name_H-M_alt 'C 1 2 1'
_space_group_IT_number 5
_space_group_name_Hall 'C 2y'
_cell_length_a 5.0137
_cell_length_b 8.6255
_cell_length_c 19.2954
_cell_angle_alpha 90.00
_cell_angle_beta 95.80
_cell_angle_gamma 90.00
loop_
_atom_site_label
_atom_site_fract_x
_atom_site_fract_y
_atom_site_fract_z
_atom_site_occupancy
Li1 0.0000 0.0000 0.0000 1
Li2 0.0000 0.1417 0.5000 1
Li3 0.0000 0.3389 0.0000 1
Li4 0.0000 0.4915 0.5000 1
Li5 0.0000 0.8413 0.5000 1
Li6 0.1238 0.4958 0.8752 1
Li7 0.2410 0.9920 0.7477 1
Li8 0.2431 0.1466 0.2515 1
Li9 0.2428 0.8357 0.2514 1
Mn1 0.1249 0.3241 0.3756 1
Mn2 0.1249 0.6589 0.3756 1
Mn3 0.1285 0.8230 0.8742 1
Mn4 0.1321 0.1583 0.8746 1
O1 0.0239 0.4914 0.6824 1
O2 0.0355 0.9914 0.1835 1
O3 0.0702 0.6683 0.1823 1
O4 0.0714 0.3126 0.1821 1
O5 0.0824 0.1772 0.6815 1
O6 0.0824 0.8058 0.6816 1
O7 0.1637 0.1716 0.0711 1
O8 0.1668 0.3057 0.5673 1
O9 0.1668 0.6773 0.5673 1
O10 0.1756 0.8174 0.0726 1
O11 0.2146 0.4881 0.0704 1
O12 0.2252 0.9915 0.5661 1

# PBE+U LiMn4O8, optimized geometry
# Size of the total moment in μB/f.u.: 13.00
# Fermi-level density of states in states/eV per atom: 0.436
# Offset from the most stable computed form in kJ per mole of atoms: 37.9
# Calculated total energy in eV per formula unit: -85.72
data_LiMn4O8
_chemical_formula_sum 'Li2 Mn8 O16'
_space_group_name_H-M_alt 'I -4 m 2'
_space_group_IT_number 119
_space_group_name_Hall 'I -4 -2'
_cell_length_a 5.7508
_cell_length_b 5.7508
_cell_length_c 12.8881
_cell_angle_alpha 90.00
_cell_angle_beta 90.00
_cell_angle_gamma 90.00
loop_
_atom_site_label
_atom_site_fract_x
_atom_site_fract_y
_atom_site_fract_z
_atom_site_occupancy
Li1 0.0000 0.0000 0.0000 1
Mn1 0.0000 0.2406 0.1721 1
O1 0.0000 0.2048 0.8679 1
O2 0.0000 0.2753 0.3230 1

# PBE+U Li4Mn3O8, optimized geometry
# Size of the total moment in μB/f.u.: 8.98
# Calculated total energy in eV per formula unit: -95.25
data_Li4Mn3O8
_chemical_formula_sum 'Li12 Mn9 O24'
_space_group_name_H-M_alt 'R -3 m'
_space_group_IT_number 166
_space_group_name_Hall '-R 3 2"'
_cell_length_a 5.7569
_cell_length_b 5.7569
_cell_length_c 15.2601
_cell_angle_alpha 90.00
_cell_angle_beta 90.00
_cell_angle_gamma 120.00
loop_
_atom_site_label
_atom_site_fract_x
_atom_site_fract_y
_atom_site_fract_z
_atom_site_occupancy
Li1 0.0000 0.0000 0.0000 1
Li2 0.0000 0.0000 0.1410 1
Li3 0.0000 0.0000 0.5000 1
Mn1 0.0000 0.5000 0.0000 1
O1 0.0000 0.0000 0.2669 1
O2 0.0169 0.5085 0.2639 1

# PBE+U Li9Mn10O20, optimized geometry
# Size of the total moment in μB/f.u.: 39.00
# Calculated total energy in eV per formula unit: -259.00
data_Li9Mn10O20
_chemical_formula_sum 'Li9 Mn10 O20'
_space_group_name_H-M_alt 'P 1'
_space_group_IT_number 1
_space_group_name_Hall 'P 1'
_cell_length_a 5.1300
_cell_length_b 7.9801
_cell_length_c 10.6112
_cell_angle_alpha 105.74
_cell_angle_beta 101.34
_cell_angle_gamma 105.64
loop_
_atom_site_label
_atom_site_fract_x
_atom_site_fract_y
_atom_site_fract_z
_atom_site_occupancy
Li1 0.0000 0.0000 0.0000 1
Li2 0.0008 0.0232 0.5029 1
Li3 0.1511 0.3671 0.9935 1
Li4 0.1787 0.3767 0.4983 1
Li5 0.4086 0.8319 0.5147 1
Li6 0.5638 0.1615 0.0058 1
Li7 0.5736 0.1807 0.5128 1
Li8 0.7782 0.0964 0.7590 1
Li9 0.7847 0.0938 0.2409 1
Mn1 0.1986 0.9122 0.7547 1
Mn2 0.2066 0.9142 0.2533 1
Mn3 0.3676 0.2862 0.7553 1
Mn4 0.3728 0.2926 0.2565 1
Mn5 0.5790 0.7072 0.7544 1
Mn6 0.5916 0.7131 0.2529 1
Mn7 0.7761 0.6032 0.0026 1
Mn8 0.7925 0.6079 0.5047 1
Mn9 0.9828 0.4940 0.7541 1
Mn10 0.9904 0.5004 0.2571 1
O1 0.0022 0.2761 0.1413 1
O2 0.0081 0.2715 0.6337 1
O3 0.1785 0.1319 0.8728 1
O4 0.1838 0.6483 0.1581 1
O5 0.1937 0.1401 0.3724 1
O6 0.2064 0.6705 0.6391 1
O7 0.3532 0.5226 0.8661 1
O8 0.3629 0.5341 0.3718 1
O9 0.3886 0.0766 0.1427 1
O10 0.3898 0.0687 0.6355 1
O11 0.5697 0.9351 0.3693 1
O12 0.5714 0.9400 0.8615 1
O13 0.6244 0.4850 0.1345 1
O14 0.6245 0.4790 0.6248 1
O15 0.7591 0.3649 0.8791 1
O16 0.7891 0.3803 0.3673 1
O17 0.8090 0.8405 0.6281 1
O18 0.8252 0.8438 0.1360 1
O19 0.9320 0.7212 0.8773 1
O20 0.9593 0.7299 0.3809 1

# PBE+U Li7Mn5O12, optimized geometry
# Size of the total moment in μB/f.u.: 18.00
# Offset from the most stable computed form in kJ per mole of atoms: 2.9
# Calculated total energy in eV per formula unit: -152.65
data_Li7Mn5O12
_chemical_formula_sum 'Li7 Mn5 O12'
_space_group_name_H-M_alt 'P 1 2/m 1'
_space_group_IT_number 10
_space_group_name_Hall '-P 2y'
_cell_length_a 5.2253
_cell_length_b 2.8839
_cell_length_c 14.6779
_cell_angle_alpha 90.00
_cell_angle_beta 92.79
_cell_angle_gamma 90.00
loop_
_atom_site_label
_atom_site_fract_x
_atom_site_fract_y
_atom_site_fract_z
_atom_site_occupancy
Li1 0.0000 0.0000 0.0000 1
Li2 0.0000 0.0000 0.5000 1
Li3 0.1850 0.5000 0.3307 1
Li4 0.3444 0.0000 0.1576 1
Li5 0.5000 0.5000 0.0000 1
Mn1 0.1288 0.5000 0.8421 1
Mn2 0.3058 0.0000 0.6705 1
Mn3 0.5000 0.5000 0.5000 1
O1 0.0152 0.0000 0.2370 1
O2 0.1509 0.5000 0.0888 1
O3 0.1613 0.5000 0.5927 1
O4 0.3041 0.0000 0.9083 1
O5 0.3522 0.0000 0.4227 1
O6 0.4396 0.5000 0.7498 1

# PBE+U Li5Mn3O8, optimized geometry
# Size of the total moment in μB/f.u.: 10.00
# Fermi-level density of states in states/eV per atom: 0.240
# Offset from the most stable computed form in kJ per mole of atoms: 2.9
# Calculated total energy in eV per formula unit: -99.89
data_Li5Mn3O8
_chemical_formula_sum 'Li15 Mn9 O24'
_space_group_name_H-M_alt 'R -3 m'
_space_group_IT_number 166
_space_group_name_Hall '-R 3 2"'
_cell_length_a 5.8565
_cell_length_b 5.8565
_cell_length_c 14.4138
_cell_angle_alpha 90.00
_cell_angle_beta 90.00
_cell_angle_gamma 120.00
loop_
_atom_site_label
_atom_site_fract_x
_atom_site_fract_y
_atom_site_fract_z
_atom_site_occupancy
Li1 0.0000 0.0000 0.0000 1
Li2 0.0000 0.0000 0.5000 1
Li3 0.0000 0.5000 0.0000 1
Mn1 0.0000 0.5000 0.5000 1
O1 0.0000 0.0000 0.2453 1
O2 0.0188 0.5094 0.7598 1

# PBE+U Li7Mn11O24, optimized geometry
# Size of the total moment in μB/f.u.: 34.03
# Offset from the most stable computed form in kJ per mole of atoms: 0.4
# Calculated total energy in eV per formula unit: -281.71
data_Li7Mn11O24
_chemical_formula_sum 'Li7 Mn11 O24'
_space_group_name_H-M_alt 'P -1'
_space_group_IT_number 2
_space_group_name_Hall '-P 1'
_cell_length_a 5.7928
_cell_length_b 8.4916
_cell_length_c 10.0404
_cell_angle_alpha 113.14
_cell_angle_beta 106.47
_cell_angle_gamma 90.57
loop_
_atom_site_label
_atom_site_fract_x
_atom_site_fract_y
_atom_site_fract_z
_atom_site_occupancy
Li1 0.0000 0.0000 0.0000 1
Li2 0.1048 0.2352 0.2033 1
Li3 0.2493 0.1182 0.4943 1
Li4 0.4212 0.5438 0.8400 1
Mn1 0.0000 0.5000 0.0000 1
Mn2 0.0000 0.5000 0.5000 1
Mn3 0.1650 0.6776 0.3366 1
Mn4 0.1722 0.1584 0.8365 1
Mn5 0.3323 0.8378 0.6723 1
Mn6 0.3367 0.8426 0.1643 1
Mn7 0.5000 0.5000 0.5000 1
O1 0.0101 0.7761 0.0180 1
O2 0.0204 0.7381 0.4993 1
O3 0.1415 0.3946 0.8332 1
O4 0.1549 0.8931 0.3159 1
O5 0.1590 0.9277 0.8157 1
O6 0.1813 0.4571 0.3522 1
O7 0.3066 0.6087 0.1693 1
O8 0.3246 0.6004 0.6557 1
O9 0.3402 0.0763 0.6840 1
O10 0.3510 0.0734 0.1861 1
O11 0.4637 0.7571 0.5006 1
O12 0.4871 0.2377 0.9731 1